Entry 1:
DFT (GGA-PBE) results for Cs2MgBiI6 after structural relaxation.

Properties
D(E_F) = 3.7 states/eV/cell
symmetry = I4/mmm, No. 139
M_tot = 0.00 μB per formula unit
VASP energy = -2.62 eV per atom
crystal system = tetragonal

Unit cell a=8.698 b=8.698 c=8.695 alpha=59.99 beta=59.99 gamma=90.00
Sites, in units of the cell vectors:
Bi 0.000 0.000 0.000
I 0.742 0.742 0.516
I 0.258 0.258 0.484
I 0.743 0.257 0.000
I 0.257 0.743 0.000
Cs 0.750 0.250 0.500
I 0.257 0.257 0.000
I 0.743 0.743 0.000
Mg 0.500 0.500 0.000
Cs 0.250 0.750 0.500

=====

Entry 2:
DFT (GGA-PBE) results for CsMg2BiI8 after structural relaxation.

Properties
D(E_F) = 0.0 states/eV/cell
symmetry = C2/m, No. 12
M_tot = 0.00 μB per formula unit
VASP energy = -2.58 eV per atom
crystal system = monoclinic

Unit cell a=7.601 b=7.597 c=11.292 alpha=85.34 beta=85.35 gamma=68.61
Sites, in units of the cell vectors:
Mg 0.628 0.629 0.206
Mg 0.372 0.371 0.794
I 0.697 0.697 0.422
I 0.729 0.231 0.202
I 0.271 0.769 0.798
I 0.769 0.271 0.798
I 0.753 0.753 0.990
I 0.231 0.729 0.202
I 0.247 0.247 0.010
Cs 0.000 0.000 0.500
Bi 0.000 0.000 0.000
I 0.303 0.303 0.578

=====

Entry 3:
DFT (GGA-PBE) results for CsMnBiI6 after structural relaxation.

Properties
D(E_F) = 0.0 states/eV/cell
symmetry = P312, No. 149
M_tot = 5.00 μB per formula unit
VASP energy = -3.27 eV per atom
crystal system = trigonal

Unit cell a=7.829 b=7.830 c=8.692 alpha=90.00 beta=90.01 gamma=60.00
Last column: magnetic moment on the atom in μB.
Sites, in units of the cell vectors:
I 0.981 0.637 0.699  0.03
I 0.637 0.981 0.301  0.03
I 0.382 0.637 0.301  0.03
Cs 0.000 0.000 0.000  0.00
Mn 0.667 0.667 0.500  4.35
I 0.637 0.382 0.699  0.03
I 0.981 0.382 0.301  0.03
Bi 0.333 0.333 0.500  0.01
I 0.382 0.981 0.699  0.03

=====

Entry 4:
DFT (GGA-PBE) results for CsMn2BiI8 after structural relaxation.

Properties
symmetry = R-3, No. 148
M_tot = 10.00 μB per formula unit
VASP energy = -3.56 eV per atom
crystal system = trigonal

Unit cell a=7.557 b=7.557 c=12.120 alpha=71.83 beta=71.83 gamma=60.00
Last column: magnetic moment on the atom in μB.
Sites, in units of the cell vectors:
I 0.822 0.822 0.533  0.06
I 0.287 0.932 0.163  0.04
Mn 0.255 0.255 0.235  4.24
I 0.381 0.713 0.837  0.04
Mn 0.745 0.745 0.765  4.24
Bi 0.000 0.000 0.000  0.07
I 0.713 0.068 0.837  0.04
I 0.068 0.381 0.837  0.04
I 0.932 0.619 0.163  0.04
Cs 0.500 0.500 0.500  0.00
I 0.178 0.178 0.467  0.06
I 0.619 0.287 0.163  0.04

=====

Entry 5:
DFT (GGA-PBE) results for Cs2BiMoI6 after structural relaxation.

Properties
D(E_F) = 1.9 states/eV/cell
symmetry = I4/mmm, No. 139
M_tot = 5.00 μB per formula unit
VASP energy = -3.18 eV per atom
crystal system = tetragonal

Unit cell a=8.672 b=8.672 c=8.655 alpha=59.93 beta=59.93 gamma=90.00
Last column: magnetic moment on the atom in μB.
Sites, in units of the cell vectors:
Bi 0.000 0.000 0.000  0.68
I 0.263 0.263 0.000  0.03
Mo 0.500 0.500 0.000  3.13
Cs 0.250 0.750 0.500  0.00
Cs 0.750 0.250 0.500  0.00
I 0.737 0.263 0.000  0.03
I 0.737 0.737 0.000  0.03
I 0.263 0.737 0.000  0.03
I 0.262 0.262 0.475  0.03
I 0.738 0.738 0.525  0.03

=====

Entry 6:
DFT (GGA-PBE) results for Cs2NaBiI6 after structural relaxation.

Properties
D(E_F) = 0.0 states/eV/cell
symmetry = P2_1/c, No. 14
M_tot = 0.00 μB per formula unit
VASP energy = -2.69 eV per atom
crystal system = monoclinic
energy relative to the lowest polymorph listed for this composition = 0 meV per atom

Unit cell a=8.686 b=8.904 c=12.467 alpha=90.00 beta=89.72 gamma=90.00
Sites, in units of the cell vectors:
I 0.711 0.301 0.964
Na 0.500 0.000 0.000
I 0.303 0.711 0.470
I 0.211 0.199 0.464
Na 0.000 0.500 0.500
I 0.803 0.789 0.970
Cs 0.519 0.563 0.750
I 0.197 0.211 0.030
I 0.568 0.000 0.255
I 0.932 0.500 0.245
I 0.789 0.801 0.536
I 0.289 0.699 0.036
Cs 0.019 0.937 0.250
I 0.432 0.000 0.745
Bi 0.000 0.500 0.000
I 0.068 0.500 0.755
I 0.697 0.289 0.530
Bi 0.500 0.000 0.500
Cs 0.481 0.437 0.250
Cs 0.981 0.063 0.750

=====

Entry 7:
DFT (GGA-PBE) results for Cs2NaBiI6 after structural relaxation.

Properties
D(E_F) = 0.0 states/eV/cell
symmetry = Fm-3m, No. 225
M_tot = 0.00 μB per formula unit
VASP energy = -2.68 eV per atom
crystal system = cubic
energy relative to the lowest polymorph listed for this composition = 15 meV per atom

Unit cell a=8.847 b=8.847 c=8.847 alpha=60.00 beta=60.00 gamma=60.00
Sites, in units of the cell vectors:
I 0.247 0.753 0.247
I 0.753 0.247 0.247
Na 0.500 0.500 0.500
Cs 0.250 0.250 0.250
I 0.753 0.247 0.753
I 0.247 0.753 0.753
I 0.753 0.753 0.247
Bi 0.000 0.000 0.000
I 0.247 0.247 0.753
Cs 0.750 0.750 0.750

=====

Entry 8:
DFT (GGA-PBE) results for CsNa2BiI6 after structural relaxation.

Properties
D(E_F) = 0.0 states/eV/cell
symmetry = R3, No. 146
M_tot = 0.00 μB per formula unit
VASP energy = -2.65 eV per atom
crystal system = trigonal

Unit cell a=8.364 b=8.363 c=9.041 alpha=62.45 beta=62.44 gamma=59.99
Sites, in units of the cell vectors:
Na 0.520 0.520 0.440
I 0.934 0.579 0.229
Na 0.996 0.996 0.011
I 0.735 0.185 0.754
I 0.579 0.258 0.229
I 0.185 0.327 0.754
Cs 0.798 0.798 0.605
I 0.258 0.934 0.229
Bi 0.330 0.330 0.011
I 0.327 0.735 0.754

=====

Entry 9:
DFT (GGA-PBE) results for Cs2NiBiI6 after structural relaxation.

Properties
D(E_F) = 3.7 states/eV/cell
symmetry = I4/mmm, No. 139
M_tot = 1.00 μB per formula unit
VASP energy = -2.81 eV per atom
crystal system = tetragonal

Unit cell a=8.393 b=8.393 c=8.390 alpha=59.99 beta=59.99 gamma=90.00
Last column: magnetic moment on the atom in μB.
Sites, in units of the cell vectors:
Bi 0.000 0.000 0.000  0.00
I 0.736 0.736 0.529  0.02
I 0.264 0.736 0.000  0.02
I 0.736 0.264 0.000  0.02
I 0.736 0.736 0.000  0.02
Ni 0.500 0.500 0.000  0.80
Cs 0.250 0.750 0.500  0.00
Cs 0.750 0.250 0.500  0.00
I 0.264 0.264 0.000  0.02
I 0.264 0.264 0.471  0.02

=====

Entry 10:
DFT (GGA-PBE) results for Cs2BiIO6 after structural relaxation.

Properties
symmetry = Fm-3m, No. 225
M_tot = 0.00 μB per formula unit
VASP energy = -4.61 eV per atom
crystal system = cubic

Unit cell a=6.165 b=6.165 c=6.164 alpha=60.00 beta=60.00 gamma=90.01
Sites, in units of the cell vectors:
O 0.723 0.723 0.000
O 0.277 0.277 0.446
Cs 0.750 0.250 0.500
O 0.277 0.723 0.000
O 0.277 0.277 0.000
Bi 0.000 0.000 0.000
O 0.723 0.277 0.000
I 0.500 0.500 0.000
O 0.723 0.723 0.554
Cs 0.250 0.750 0.500

=====

Entry 11:
DFT (GGA-PBE) results for CsBiI2O8 after structural relaxation.

Properties
D(E_F) = 1.3 states/eV/cell
symmetry = R-3, No. 148
M_tot = 1.95 μB per formula unit
VASP energy = -4.52 eV per atom
crystal system = trigonal

Unit cell a=6.049 b=6.049 c=9.035 alpha=70.44 beta=70.44 gamma=60.00
Last column: magnetic moment on the atom in μB.
Sites, in units of the cell vectors:
O 0.391 0.756 0.837  0.22
O 0.016 0.391 0.837  0.22
O 0.756 0.016 0.837  0.22
O 0.805 0.805 0.586  0.02
I 0.733 0.733 0.801  0.10
O 0.609 0.244 0.163  0.22
O 0.195 0.195 0.414  0.02
Cs 0.500 0.500 0.500  0.00
I 0.267 0.267 0.199  0.10
O 0.984 0.609 0.163  0.22
O 0.244 0.984 0.163  0.22
Bi 0.000 0.000 0.000  0.02

=====

Entry 12:
DFT (GGA-PBE) results for CsBiIO2 after structural relaxation.

Properties
D(E_F) = 3.5 states/eV/cell
symmetry = P4/mmm, No. 123
M_tot = 0.00 μB per formula unit
VASP energy = -3.89 eV per atom
crystal system = tetragonal
energy relative to the lowest polymorph listed for this composition = 0 meV per atom

Unit cell a=4.712 b=4.712 c=6.318 alpha=90.00 beta=90.00 gamma=90.00
Sites, in units of the cell vectors:
O 0.500 0.000 0.000
I 0.000 0.000 0.500
Bi 0.000 0.000 0.000
Cs 0.500 0.500 0.500
O 0.000 0.500 0.000